1.
# SrPa2TaS8 | the Alexandria database | PBE | relaxed
# E_form (uncorrected), kJ per mole of atoms: -131.9
# DOS at the Fermi energy, states/eV/f.u.: 6.84
# Energy, eV per atom: -6.829
data_SrPa2TaS8
_symmetry_space_group_name_H-M 'P 1 2/m 1'
_symmetry_Int_Tables_number 10
_cell_length_a 6.020
_cell_length_b 8.202
_cell_length_c 6.363
_cell_angle_alpha 90.00
_cell_angle_beta 91.08
_cell_angle_gamma 90.00
loop_
_symmetry_equiv_pos_as_xyz
'x,y,z'
'-x,-y,-z'
'-x,y,-z'
'x,-y,z'
loop_
_atom_site_label
_atom_site_type_symbol
_atom_site_fract_x
_atom_site_fract_y
_atom_site_fract_z
Sr1 Sr 0.000 0.000 0.000
Pa1 Pa 0.500 0.256 0.500
Ta1 Ta 0.000 0.500 0.000
S1 S 0.230 0.292 0.167
S2 S 0.264 0.500 0.683
S3 S 0.275 0.000 0.632

2.
# La12Zn6Cu | the Alexandria database | PBE | relaxed
# Energy of formation from the pure elements, meV/atom: -90
# DOS at the Fermi energy, states/eV/f.u.: 28.76
# Energy, eV per atom: -3.820
data_La12Zn6Cu
_symmetry_space_group_name_H-M 'R -3'
_symmetry_Int_Tables_number 148
_symmetry_space_group_name_Hall '-R 3'
_cell_length_a 12.0417
_cell_length_b 12.0417
_cell_length_c 13.5946
_cell_angle_alpha 90.00
_cell_angle_beta 90.00
_cell_angle_gamma 120.00
loop_
_atom_site_label
_atom_site_type_symbol
_atom_site_fract_x
_atom_site_fract_y
_atom_site_fract_z
La1 La 0.0441 0.8428 0.3613
La2 La 0.0458 0.2039 0.8909
Zn1 Zn 0.0054 0.5942 0.2359
Cu1 Cu 0.0000 0.0000 0.5000